BaTa3O after structural relaxation. Source: Alexandria via LeMat-Bulk, functional PBE.

Cell: 5.0850 5.0850 5.0850 Å, 90.00 90.00 90.00°
Last column: nearest neighbours and their distance in Å.
Positions (direct):
1 Ba 0.0000 0.0000 0.0000  6 Ta 2.54
2 O 0.5000 0.5000 0.5000  12 Ta 3.60
3 Ta 0.0000 0.5000 0.0000  2 Ba 2.54
4 Ta 0.0000 0.0000 0.5000  2 Ba 2.54
5 Ta 0.5000 0.0000 0.0000  2 Ba 2.54

Results
- E above lowest polymorph: 3182 meV per atom
- M_tot: 0.000 μB/atom
- Electronic total energy: -24.72 eV per formula unit
- Formation energy from raw total energies: 3544 meV/atom
- Space group: Pm-3m



Nd2Pt7Rh after structural relaxation. Source: Alexandria via LeMat-Bulk, functional PBE.

Cell: 6.9206 6.9206 6.9206 Å, 60.00 60.00 60.00°
Last column: nearest neighbours and their distance in Å.
Positions (direct):
1 Nd 0.2500 0.2500 0.2500  12 Pt 3.46
2 Nd 0.7500 0.7500 0.7500  12 Pt 3.46
3 Pt 0.5000 0.5000 0.5000  6 Pt 2.47
4 Pt 0.2475 0.7525 0.7525  1 Rh 2.42, 1 Pt 2.47
5 Pt 0.2475 0.7525 0.2475  1 Rh 2.42, 1 Pt 2.47
6 Pt 0.7525 0.2475 0.7525  1 Rh 2.42, 1 Pt 2.47
7 Pt 0.7525 0.7525 0.2475  1 Rh 2.42, 1 Pt 2.47
8 Pt 0.2475 0.2475 0.7525  1 Rh 2.42, 1 Pt 2.47
9 Pt 0.7525 0.2475 0.2475  1 Rh 2.42, 1 Pt 2.47
10 Rh 0.0000 0.0000 0.0000  6 Pt 2.42

Results
- M_tot: 0.281 μB/atom
- Electronic total energy: -57.12 eV per formula unit
- Space group: Fm-3m
- Formation enthalpy at 0 K: 0.206 eV per atom



La3Ga4Si2 after structural relaxation. Source: Alexandria via LeMat-Bulk, functional PBE.

Cell: 4.2331 6.1348 8.5695 Å, 97.95 90.00 110.18°
Last column: nearest neighbours and their distance in Å.
Positions (direct):
1 La 0.6677 0.3353 0.6645  8 Ga 3.28-3.34, 4 Si 3.29-3.32
2 La 0.0000 0.0000 0.0000  8 Ga 3.27-3.32, 4 Si 3.29
3 La 0.3323 0.6647 0.3355  8 Ga 3.28-3.34, 4 Si 3.29-3.32
4 Ga 0.7246 0.4492 0.0587  1 Si 2.43, 2 Ga 2.45
5 Ga 0.2754 0.5508 0.9413  1 Si 2.43, 2 Ga 2.45
6 Ga 0.9467 0.8935 0.6149  2 Si 2.44, 1 Ga 2.47
7 Ga 0.0533 0.1065 0.3851  2 Si 2.44, 1 Ga 2.47
8 Si 0.6107 0.2214 0.2764  3 Ga 2.43-2.44
9 Si 0.3893 0.7786 0.7236  3 Ga 2.43-2.44

Results
- M_tot: 0.000 μB/atom
- Electronic total energy: -44.31 eV per formula unit
- Formation energy from raw total energies: -730 meV/atom
- Space group: C2/m



Y2TiAg2 after structural relaxation. Source: Alexandria via LeMat-Bulk, functional PBE.

Cell: 8.1484 8.1484 3.6297 Å, 90.00 90.00 90.00°
Last column: nearest neighbours and their distance in Å.
Positions (direct):
1 Y 0.1742 0.6742 0.5000  6 Ag 2.94-3.07
2 Y 0.6742 0.8258 0.5000  6 Ag 2.94-3.07
3 Y 0.8258 0.3258 0.5000  6 Ag 2.94-3.07
4 Y 0.3258 0.1742 0.5000  6 Ag 2.94-3.07
5 Ag 0.3748 0.8748 0.0000  1 Ag 2.88, 6 Y 2.94-3.07, 2 Ti 3.22
6 Ag 0.8748 0.6252 0.0000  1 Ag 2.88, 6 Y 2.94-3.07, 2 Ti 3.22
7 Ag 0.6252 0.1252 0.0000  1 Ag 2.88, 6 Y 2.94-3.07, 2 Ti 3.22
8 Ag 0.1252 0.3748 0.0000  1 Ag 2.88, 6 Y 2.94-3.07, 2 Ti 3.22
9 Ti 0.0000 0.0000 0.0000  4 Ag 3.22, 8 Y 3.52
10 Ti 0.5000 0.5000 0.0000  4 Ag 3.22, 8 Y 3.52

Results
- M_tot: 0.453 μB/atom
- Electronic total energy: -26.54 eV per formula unit
- Space group: P4/mbm
- Formation enthalpy at 0 K: -0.003 eV per atom



ScPtW2 after structural relaxation. Source: Alexandria via LeMat-Bulk, functional PBE.

Cell: 9.6250 9.6250 9.6250 Å, 17.16 17.16 17.16°
Last column: nearest neighbours and their distance in Å.
Positions (direct):
1 Pt 0.5008 0.5008 0.5008  3 W 2.83, 3 Sc 2.86, 6 Pt 2.87
2 Sc 0.7522 0.7522 0.7522  3 Pt 2.86, 6 Sc 2.87, 3 W 2.97
3 W 0.9989 0.9989 0.9989  9 W 2.87-2.91, 3 Sc 2.97
4 W 0.2480 0.2480 0.2480  3 Pt 2.83, 9 W 2.87-2.91

Results
- M_tot: 0.000 μB/atom
- Electronic total energy: -37.88 eV per formula unit
- Space group: R3m
- Formation enthalpy at 0 K: 0.099 eV per atom



Al2SiAs2 after structural relaxation. Source: Alexandria via LeMat-Bulk, functional PBE.

Cell: 7.1005 7.1005 3.5462 Å, 90.00 90.00 90.00°
Last column: nearest neighbours and their distance in Å.
Positions (direct):
1 As 0.1675 0.6675 0.5000  6 Al 2.64-2.81
2 As 0.6675 0.8325 0.5000  6 Al 2.64-2.81
3 As 0.8325 0.3325 0.5000  6 Al 2.64-2.81
4 As 0.3325 0.1675 0.5000  6 Al 2.64-2.81
5 Si 0.0000 0.0000 0.0000  4 Al 2.75
6 Si 0.5000 0.5000 0.0000  4 Al 2.75
7 Al 0.3624 0.8624 0.0000  6 As 2.64-2.81, 2 Si 2.75, 1 Al 2.76
8 Al 0.8624 0.6376 0.0000  6 As 2.64-2.81, 2 Si 2.75, 1 Al 2.76
9 Al 0.6376 0.1376 0.0000  6 As 2.64-2.81, 2 Si 2.75, 1 Al 2.76
10 Al 0.1376 0.3624 0.0000  6 As 2.64-2.81, 2 Si 2.75, 1 Al 2.76

Results
- E above lowest polymorph: 0 meV per atom
- M_tot: 0.000 μB/atom
- Electronic total energy: -21.08 eV per formula unit
- Formation energy from raw total energies: 226 meV/atom
- Space group: P4/mbm



YMoIrRh2 after structural relaxation. Source: Alexandria via LeMat-Bulk, functional PBE.

Cell: 4.8344 4.6542 4.8344 Å, 90.00 90.00 90.00°
Last column: nearest neighbours and their distance in Å.
Positions (direct):
1 Y 0.5000 0.5000 0.5000  8 Rh 3.36, 4 Mo 3.42
2 Mo 0.0000 0.5000 0.0000  2 Ir 2.33
3 Ir 0.0000 0.0000 0.0000  2 Mo 2.33, 4 Rh 2.42
4 Rh 0.0000 0.0000 0.5000  2 Ir 2.42
5 Rh 0.5000 0.0000 0.0000  2 Ir 2.42

Results
- M_tot: 0.000 μB/atom
- Electronic total energy: -37.23 eV per formula unit
- Space group: P4/mmm
- Formation enthalpy at 0 K: 0.725 eV per atom



Pm4CdPb3 after structural relaxation. Source: Alexandria via LeMat-Bulk, functional PBE.

Cell: 4.5895 4.5399 11.9124 Å, 90.00 90.00 90.00°
Last column: nearest neighbours and their distance in Å.
Positions (direct):
1 Pm 0.5000 0.5000 0.3635  6 Pb 3.26-3.61, 1 Cd 3.31
2 Pm 0.0000 0.5000 0.8664  5 Pb 3.20-3.27, 2 Cd 3.48
3 Pm 0.0000 0.0000 0.1353  3 Pb 3.20-3.51, 4 Cd 3.28
4 Pm 0.5000 0.0000 0.6342  7 Pb 3.26-3.57
5 Cd 0.5000 0.5000 0.0860  2 Pb 3.07, 5 Pm 3.28-3.31
6 Pb 0.0000 0.5000 0.5977  5 Pm 3.20-3.26, 2 Pb 3.23
7 Pb 0.0000 0.0000 0.4042  7 Pm 3.20-3.57, 2 Pb 3.23
8 Pb 0.5000 0.0000 0.9128  2 Cd 3.07, 5 Pm 3.27-3.32

Results
- E above lowest polymorph: 0 meV per atom
- M_tot: 0.000 μB/atom
- Electronic total energy: -34.87 eV per formula unit
- Space group: Pmm2
- Formation enthalpy at 0 K: -0.478 eV per atom